Record 1
First-principles (GGA+U) data for crystalline V2RePbO8 at its relaxed geometry, as listed in Alexandria via LeMat-Bulk.

Cell: 5.6319 5.6319 6.8708 Å, 90.00 90.00 120.00°
Space group P-3 (No. 147)
Symmetry-distinct sites (fractional):
V (0.3333, 0.6667, 0.2575) (multiplicity 2)
Re (0.0000, 0.0000, 0.0000) (multiplicity 1)
Pb (0.0000, 0.0000, 0.5000) (multiplicity 1)
O (0.1570, 0.3187, 0.1783) (multiplicity 6)
O (0.3333, 0.6667, 0.5011) (multiplicity 2)

## Properties
- E: -7.4951 eV/atom
- Theoretical density: 5.48 g cm⁻³
- Volume: 15.7 A^3/atom

---

Record 2
First-principles (GGA+U) data for crystalline VRePb2O6 at its relaxed geometry, as listed in Alexandria via LeMat-Bulk.

Cell: 5.680 5.706 7.962 Å, 90.00 90.00 90.00°
Space group Immm (No. 71)
Symmetry-distinct sites (fractional):
V (0.000, 0.000, 0.000) (multiplicity 2)
Re (0.000, 0.000, 0.500) (multiplicity 2)
Pb (0.000, 0.500, 0.252) (multiplicity 4)
O (0.000, 0.000, 0.252) (multiplicity 4)
O (0.245, 0.245, 0.500) (multiplicity 8)

## Properties
- E: -7.1579 eV/atom
- Theoretical density: 9.62 g cm⁻³
- Volume: 12.9 A^3/atom

---

Record 3
First-principles (GGA+U) data for crystalline VRePbO6 at its relaxed geometry, as listed in Alexandria via LeMat-Bulk.

Cell: 5.311 9.096 5.300 Å, 90.00 90.26 90.00°
Space group C2 (No. 5)
Symmetry-distinct sites (fractional):
V (0.000, 0.000, 0.000) (multiplicity 2)
Re (0.000, 0.663, 0.000) (multiplicity 2)
Pb (0.000, 0.328, 0.500) (multiplicity 2)
O (0.120, 0.824, 0.199) (multiplicity 4)
O (0.175, 0.528, 0.206) (multiplicity 4)
O (0.201, 0.143, 0.203) (multiplicity 4)

## Properties
- E: -7.5613 eV/atom
- Theoretical density: 7.01 g cm⁻³
- Volume: 14.2 A^3/atom